No. 1
ReCS | GGA-PBE | relaxed

The structure in extended XYZ format:
```
12
Lattice="-4.9789 -0.4390 1.2718 -0.6867 -0.6866 -2.9253 3.7746 -10.7496 1.6371" Properties=species:S:1:pos:R:3 pbc="T T T"
S 1.5561 -8.3695 1.5993
C 1.5439 -5.7181 -0.6441
S -0.6746 -3.3380 -0.6820
Re 0.8010 -4.5066 0.8698
S -1.2164 -8.5372 0.6656
Re 2.3449 -10.2247 0.2257
S -2.7604 -2.8191 1.3097
C -2.8328 -0.5628 -0.8267
C 0.0000 0.0000 0.0000
Re -2.0053 -6.6820 2.0392
C -0.6021 -5.5943 1.4545
Re -4.2359 -1.6505 -0.2420
```

Properties
* energy relative to the elements, uncorrected: 0.366 eV per atom
* Fermi-level density of states: 0.371 states/eV per atom
* electronic total energy: -8.23 eV per atom
* energy above the most stable polymorph in this dataset: 84 meV/atom

=====

No. 2
ReCS3 | GGA-PBE | relaxed

The structure in extended XYZ format:
```
5
Lattice="-3.4670 -2.2054 2.0926 -1.5020 -1.5170 -4.0873 2.6432 -3.7547 0.4222" Properties=species:S:1:pos:R:3 pbc="T T T"
S -1.7335 -1.1027 1.0463
S -0.7510 -0.7585 -2.0436
Re 0.0000 0.0000 0.0000
S 1.3216 -1.8773 0.2111
C -1.1629 -3.7385 -0.7862
```

Properties
* energy relative to the elements, uncorrected: 1.643 eV per atom
* Fermi-level density of states: 0.987 states/eV per atom
* electronic total energy: -5.17 eV per atom
* energy above the most stable polymorph in this dataset: 199 meV/atom

=====

No. 3
ReCS | GGA-PBE | relaxed

The structure in extended XYZ format:
```
6
Lattice="-1.3774 2.3772 1.0704 -1.7869 -1.4731 -3.0931 -4.4051 -5.2635 5.9118" Properties=species:S:1:pos:R:3 pbc="T T T"
S -6.3268 -5.3591 2.8569
C -3.3058 -1.9552 3.2477
C -4.8306 -4.4545 2.7696
Re -3.4491 -3.0289 1.3871
Re -4.5313 -1.6376 5.0254
S -3.3142 -0.8092 0.6906
```

Properties
* energy relative to the elements, uncorrected: 0.326 eV per atom
* Fermi-level density of states: 0.479 states/eV per atom
* electronic total energy: -8.27 eV per atom
* energy above the most stable polymorph in this dataset: 45 meV/atom

=====

Question: Look up the Fermi-level density of states of the third one.
Answer: 0.479 states/eV per atom

=====

Question: The highest energy relative to the elements, uncorrected belongs to which entry?
Answer: ReCS3